# Na3CuCl4

A geometry-optimized Na3CuCl4 structure (PBE-GGA, Alexandria).

Lattice parameters (Å, degrees): 3.969 3.969 10.833 90.00 90.00 90.00
Element x y z (fractional)
1 Na 0.000 0.000 0.000
2 Na 0.500 0.500 0.259
3 Na 0.500 0.500 0.741
4 Cu 0.000 0.000 0.500
5 Cl 0.000 0.000 0.271
6 Cl 0.000 0.000 0.729
7 Cl 0.500 0.500 0.000
8 Cl 0.500 0.500 0.500

Energy relative to the elements, uncorrected ... -1.382 eV/atom

---

# SrTl2Cd

A geometry-optimized SrTl2Cd structure (PBE-GGA, Alexandria).

Lattice parameters (Å, degrees): 5.129 5.129 4.580 90.00 90.00 90.00
Element x y z (fractional)
1 Sr 0.000 0.000 0.000
2 Tl 0.000 0.500 0.500
3 Tl 0.500 0.000 0.500
4 Cd 0.500 0.500 0.000

Formation enthalpy at 0 K ... -0.24 eV/atom

---

# V2HgPtN

A geometry-optimized V2HgPtN structure (PBE-GGA, Alexandria).

Lattice parameters (Å, degrees): 3.887 3.887 4.784 90.00 90.00 90.00
Element x y z (fractional)
1 V 0.000 0.500 0.000
2 V 0.500 0.000 0.000
3 Hg 0.000 0.000 0.500
4 Pt 0.500 0.500 0.500
5 N 0.000 0.000 0.000

Energy relative to the elements, uncorrected ... -0.055 eV/atom

---

# CoAuSe2

A geometry-optimized CoAuSe2 structure (PBE-GGA, Alexandria).

Lattice parameters (Å, degrees): 14.852 3.572 6.167 90.00 105.86 90.00
Element x y z (fractional)
1 Co 0.250 0.250 0.000
2 Co 0.250 0.750 0.500
3 Co 0.750 0.250 0.500
4 Co 0.750 0.750 0.000
5 Au 0.000 0.000 0.000
6 Au 0.000 0.000 0.500
7 Au 0.500 0.500 0.000
8 Au 0.500 0.500 0.500
9 Se 0.166 0.236 0.613
10 Se 0.166 0.764 0.113
11 Se 0.334 0.264 0.387
12 Se 0.334 0.736 0.887
13 Se 0.666 0.264 0.113
14 Se 0.666 0.736 0.613
15 Se 0.834 0.236 0.887
16 Se 0.834 0.764 0.387

Energy relative to the elements, uncorrected ... -0.166 eV/atom

---

# MgMoAu2

A geometry-optimized MgMoAu2 structure (PBE-GGA, Alexandria).

Lattice parameters (Å, degrees): 6.116 8.119 2.780 90.00 90.11 90.00
Element x y z (fractional)
1 Mg 0.000 0.000 0.000
2 Mg 0.500 0.500 0.000
3 Mo 0.000 0.500 0.000
4 Mo 0.500 0.000 0.000
5 Au 0.250 0.250 0.500
6 Au 0.250 0.750 0.500
7 Au 0.750 0.250 0.500
8 Au 0.750 0.750 0.500

Formation enthalpy at 0 K ... -0.02 eV/atom

---

# AlReTe

A geometry-optimized AlReTe structure (PBE-GGA, Alexandria).

Lattice parameters (Å, degrees): 3.287 3.287 6.101 90.00 90.00 120.00
Element x y z (fractional)
1 Al 0.000 0.000 0.000
2 Re 0.333 0.667 0.293
3 Te 0.667 0.333 0.606

Energy relative to the elements, uncorrected ... 0.304 eV/atom

---

# Pr2Nd3Mg2

A geometry-optimized Pr2Nd3Mg2 structure (PBE-GGA, Alexandria).

Lattice parameters (Å, degrees): 3.856 31.557 3.769 90.00 90.00 90.00
Element x y z (fractional)
1 Pr 0.000 0.205 0.000
2 Pr 0.000 0.795 0.000
3 Pr 0.500 0.295 0.000
4 Pr 0.500 0.705 0.000
5 Nd 0.000 0.080 0.000
6 Nd 0.000 0.500 0.500
7 Nd 0.000 0.920 0.000
8 Nd 0.500 0.000 0.500
9 Nd 0.500 0.420 0.000
10 Nd 0.500 0.580 0.000
11 Mg 0.000 0.359 0.500
12 Mg 0.000 0.641 0.500
13 Mg 0.500 0.141 0.500
14 Mg 0.500 0.859 0.500

Formation enthalpy at 0 K ... 0.02 eV/atom

---

# KBa3Sn

A geometry-optimized KBa3Sn structure (PBE-GGA, Alexandria).

Lattice parameters (Å, degrees): 6.908 6.908 6.908 90.00 90.00 90.00
Element x y z (fractional)
1 K 0.000 0.000 0.000
2 Ba 0.000 0.500 0.500
3 Ba 0.500 0.000 0.500
4 Ba 0.500 0.500 0.000
5 Sn 0.500 0.500 0.500

Formation enthalpy at 0 K ... -0.19 eV/atom

---

In μB/cell, the size of the total moment values for the records above are, in order, 0.00, 0.00, 0.00, 0.00, 1.44, 0.00, 0.00, 0.00.